Entry 1:
Material: FeAuI3
Method: DFT, GGA-PBEsol
State: relaxed

Unit cell a=5.211 b=5.211 c=5.211 alpha=90.00 beta=90.00 gamma=90.00
Sites, in units of the cell vectors:
Fe1 0.000 0.000 0.000
Au1 0.500 0.500 0.500
I1 0.000 0.000 0.500
I2 0.000 0.500 0.000
I3 0.500 0.000 0.000

Properties
The value obtained for the total energy is -15.4 eV per cell. Its raw formation energy is 2.83 eV/f.u. The crystal system is cubic. Its energy above the most stable polymorph in this dataset is 0 meV per atom.

***

Entry 2:
Material: Ta2MnCl
Method: DFT, GGA-PBEsol
State: relaxed

Unit cell a=3.048 b=4.147 c=4.976 alpha=90.00 beta=90.00 gamma=90.00
Sites, in units of the cell vectors:
Ta1 0.000 0.000 0.000
Ta2 0.500 0.000 0.500
Mn1 0.000 0.500 0.500
Cl1 0.500 0.500 0.000

Properties
The value obtained for the total energy is -34.5 eV per cell. Its raw formation energy is 2.33 eV/f.u. The crystal system is orthorhombic. Its energy above the most stable polymorph in this dataset is 19 meV per atom.

***

Entry 3:
Material: Li2TaOs
Method: DFT, GGA-PBEsol
State: relaxed

Unit cell a=3.604 b=3.604 c=9.174 alpha=90.00 beta=90.00 gamma=90.00
Sites, in units of the cell vectors:
Li1 0.000 0.500 0.250
Li2 0.000 0.500 0.750
Li3 0.500 0.000 0.250
Li4 0.500 0.000 0.750
Ta1 0.000 0.000 0.000
Ta2 0.500 0.500 0.500
Os1 0.000 0.000 0.500
Os2 0.500 0.500 0.000

Properties
The formation enthalpy at 0 K is 0.207 eV per atom. The value obtained for the total energy is -55.7 eV per cell. The crystal system is tetragonal. Its energy above the most stable polymorph in this dataset is 0 meV per atom.

***

Entry 4:
Material: ScGaS2
Method: DFT, GGA-PBEsol
State: relaxed

Unit cell a=6.901 b=6.901 c=7.583 alpha=90.00 beta=90.00 gamma=90.00
Sites, in units of the cell vectors:
Sc1 0.000 0.000 0.000
Sc2 0.000 0.500 0.250
Sc3 0.500 0.000 0.750
Sc4 0.500 0.500 0.500
Ga1 0.000 0.000 0.500
Ga2 0.000 0.500 0.750
Ga3 0.500 0.000 0.250
Ga4 0.500 0.500 0.000
S1 0.210 0.250 0.125
S2 0.250 0.710 0.375
S3 0.250 0.790 0.875
S4 0.290 0.250 0.625
S5 0.710 0.750 0.625
S6 0.750 0.210 0.875
S7 0.750 0.290 0.375
S8 0.790 0.750 0.125

Properties
The value obtained for the total energy is -91.0 eV per cell. Its raw formation energy is -4.04 eV/f.u. The crystal system is tetragonal.

***

Entry 5:
Material: Y2Fe17C2
Method: DFT, GGA-PBEsol
State: relaxed

Unit cell a=6.320 b=6.320 c=6.355 alpha=96.59 beta=96.59 gamma=83.51
Sites, in units of the cell vectors:
Y1 0.152 0.152 0.334
Y2 0.848 0.848 0.666
Fe1 0.000 0.500 0.000
Fe2 0.155 0.155 0.855
Fe3 0.155 0.650 0.341
Fe4 0.217 0.497 0.716
Fe5 0.220 0.780 0.000
Fe6 0.350 0.845 0.659
Fe7 0.403 0.403 0.096
Fe8 0.497 0.217 0.716
Fe9 0.500 0.000 0.000
Fe10 0.500 0.500 0.500
Fe11 0.503 0.783 0.284
Fe12 0.597 0.597 0.904
Fe13 0.650 0.155 0.341
Fe14 0.780 0.220 0.000
Fe15 0.783 0.503 0.284
Fe16 0.845 0.350 0.659
Fe17 0.845 0.845 0.145
C1 0.000 0.500 0.500
C2 0.500 0.000 0.500

Properties
The formation enthalpy at 0 K is -0.056 eV per atom. The value obtained for the total energy is -186.5 eV per cell. The crystal system is monoclinic.

***

Entry 6:
Material: NiAgPb3
Method: DFT, GGA-PBEsol
State: relaxed

Unit cell a=5.035 b=5.035 c=5.035 alpha=90.00 beta=90.00 gamma=90.00
Sites, in units of the cell vectors:
Ni1 0.000 0.000 0.000
Ag1 0.500 0.500 0.500
Pb1 0.000 0.000 0.500
Pb2 0.000 0.500 0.000
Pb3 0.500 0.000 0.000

Properties
The formation enthalpy at 0 K is 0.301 eV per atom. The value obtained for the total energy is -20.0 eV per cell. The crystal system is cubic.

***

Entry 7:
Material: AsW2Cl
Method: DFT, GGA-PBEsol
State: relaxed

Unit cell a=6.161 b=6.161 c=6.161 alpha=90.00 beta=90.00 gamma=90.00
Sites, in units of the cell vectors:
As1 0.000 0.000 0.000
As2 0.000 0.500 0.500
As3 0.500 0.000 0.500
As4 0.500 0.500 0.000
W1 0.250 0.250 0.250
W2 0.250 0.250 0.750
W3 0.250 0.750 0.250
W4 0.250 0.750 0.750
W5 0.750 0.250 0.250
W6 0.750 0.250 0.750
W7 0.750 0.750 0.250
W8 0.750 0.750 0.750
Cl1 0.000 0.000 0.500
Cl2 0.000 0.500 0.000
Cl3 0.500 0.000 0.000
Cl4 0.500 0.500 0.500

Properties
The value obtained for the total energy is -127.8 eV per cell. Its raw formation energy is 2.78 eV/f.u. The crystal system is cubic. Its energy above the most stable polymorph in this dataset is 379 meV per atom.

***

Entry 8:
Material: La2ScAg2
Method: DFT, GGA-PBEsol
State: relaxed

Unit cell a=8.179 b=8.179 c=3.940 alpha=90.00 beta=90.00 gamma=90.00
Sites, in units of the cell vectors:
La1 0.178 0.322 0.000
La2 0.322 0.822 0.000
La3 0.678 0.178 0.000
La4 0.822 0.678 0.000
Sc1 0.000 0.000 0.500
Sc2 0.500 0.500 0.500
Ag1 0.123 0.623 0.500
Ag2 0.377 0.123 0.500
Ag3 0.623 0.877 0.500
Ag4 0.877 0.377 0.500

Properties
The formation enthalpy at 0 K is -0.140 eV per atom. The value obtained for the total energy is -49.2 eV per cell. The crystal system is tetragonal.

***

Q: Which V values were calculated for the entries above? A: 141.5, 62.9, 59.6, 90.3, 249.2, 127.6, 58.5, 131.8, in Å³/f.u..